[1]
A relaxed YAgW3 crystal. Source: Alexandria via LeMat-Bulk, functional GGA-PBE.

Summary:
- Relative energy among the computed polymorphs: 0 kJ/mol of formula units
- Density: 10.74 g cm⁻³
- DOS(E_F): 10.0 states/eV/cell
- ΔE_f: 2.3262 eV per atom
- Space group: Pm-3m (221)
- V: 23.13 Å³/atom

Cell lengths 4.8724, 4.8724, 4.8724 Å; angles 90.00, 90.00, 90.00 degrees
Closest atoms and distances in Å follow each position.
Fractional coordinates of all 5 atoms:
W 0.0000 0.0000 0.5000  2 Ag 2.44
W 0.0000 0.5000 0.0000  2 Ag 2.44
Y 0.5000 0.5000 0.5000  12 W 3.45
W 0.5000 0.0000 0.0000  2 Ag 2.44
Ag 0.0000 0.0000 0.0000  6 W 2.44

=====

[2]
A relaxed YAgW2 crystal. Source: Alexandria via LeMat-Bulk, functional GGA-PBE.

Summary:
- Relative energy among the computed polymorphs: 207 kJ/mol of formula units
- Density: 11.52 g cm⁻³
- DOS(E_F): 7.0 states/eV/cell
- ΔE_f: 0.8595 eV per atom
- Space group: I-42d (122)
- V: 20.33 Å³/atom

Cell lengths 3.9010, 3.9010, 11.0400 Å; angles 79.82, 79.82, 90.00 degrees
Closest atoms and distances in Å follow each position.
Fractional coordinates of all 8 atoms:
Y 0.5000 0.5000 0.0000  4 Ag 2.76, 4 W 3.00
Ag 0.7500 0.2500 0.5000  4 Y 2.76, 4 W 3.02
W 0.8750 0.8679 0.7500  4 W 2.72-2.80, 2 Y 3.00, 2 Ag 3.02
W 0.6179 0.1250 0.2500  4 W 2.72-2.80, 2 Y 3.00, 2 Ag 3.02
W 0.1321 0.6250 0.2500  4 W 2.72-2.80, 2 Y 3.00, 2 Ag 3.02
W 0.3750 0.3821 0.7500  4 W 2.72-2.80, 2 Y 3.00, 2 Ag 3.02
Y 0.2500 0.7500 0.5000  4 Ag 2.76, 4 W 3.00
Ag 0.0000 0.0000 0.0000  4 Y 2.76, 4 W 3.02

=====

[3]
A relaxed Y2AgW crystal. Source: Alexandria via LeMat-Bulk, functional GGA-PBE.

Summary:
- Relative energy among the computed polymorphs: 35 kJ/mol of formula units
- Density: 8.54 g cm⁻³
- DOS(E_F): 4.7 states/eV/cell
- ΔE_f: 0.2884 eV per atom
- Space group: P4/mmm (123)
- V: 22.84 Å³/atom

Cell lengths 5.3097, 3.2403, 5.3093 Å; angles 90.00, 90.00, 90.00 degrees
Closest atoms and distances in Å follow each position.
Fractional coordinates of all 4 atoms:
Y 0.5000 0.1251 0.3748  4 W 3.11, 4 Ag 3.11, 2 Y 3.24
W 0.5000 0.6250 0.8748  8 Y 3.11, 2 W 3.24
Ag 0.0000 0.6250 0.3753  8 Y 3.11, 2 Ag 3.24
Y 0.0000 0.1248 0.8751  4 Ag 3.11, 4 W 3.11, 2 Y 3.24

=====

[4]
A relaxed YAgW2 crystal. Source: Alexandria via LeMat-Bulk, functional GGA-PBE.

Summary:
- Relative energy among the computed polymorphs: 37 kJ/mol of formula units
- Density: 12.32 g cm⁻³
- DOS(E_F): 3.1 states/eV/cell
- ΔE_f: 0.4208 eV per atom
- Space group: Cmm2 (35)
- V: 19.02 Å³/atom

Cell lengths 2.9137, 2.9137, 9.5881 Å; angles 90.00, 90.00, 110.83 degrees
Closest atoms and distances in Å follow each position.
Fractional coordinates of all 4 atoms:
W 0.5000 0.5000 0.2248  6 W 2.61-2.91
Ag 0.5000 0.5000 0.7688  2 W 2.88, 4 Ag 2.91, 2 Y 3.13
Y 0.0000 0.0000 0.4922  4 Y 2.91, 2 W 3.05, 2 Ag 3.13
W 0.0000 0.0000 0.0141  6 W 2.61-2.91, 2 Ag 2.88

=====

- Number 2 is which compound?
  YAgW2

=====

- The lowest relative energy among the computed polymorphs belongs to which entry?
  YAgW3